# MgZnSe2 | Alexandria | PBEsol | optimized geometry
data_MgZnSe2
_symmetry_space_group_name_H-M 'C m m m'
_symmetry_Int_Tables_number 65
_symmetry_space_group_name_Hall '-C 2 2'
_cell_length_a 3.6759
_cell_length_b 7.2826
_cell_length_c 7.1257
_cell_angle_alpha 90.00
_cell_angle_beta 90.00
_cell_angle_gamma 90.00
loop_
_atom_site_label
_atom_site_type_symbol
_atom_site_fract_x
_atom_site_fract_y
_atom_site_fract_z
Mg1 Mg 0.0000 0.0000 0.0000
Zn1 Zn 0.0000 0.0000 0.5000
Se1 Se 0.0000 0.5000 0.2598
# **Energy**: -0.118 hartree per atom
# **ρ**: 4.31 Mg/m³



# Tl3Cd4 | Alexandria | PBEsol | optimized geometry
data_Tl3Cd4
_symmetry_space_group_name_H-M 'I 4/m m m'
_symmetry_Int_Tables_number 139
_symmetry_space_group_name_Hall '-I 4 2'
_cell_length_a 3.2234
_cell_length_b 3.2234
_cell_length_c 32.7059
_cell_angle_alpha 90.00
_cell_angle_beta 90.00
_cell_angle_gamma 90.00
loop_
_atom_site_label
_atom_site_type_symbol
_atom_site_fract_x
_atom_site_fract_y
_atom_site_fract_z
Tl1 Tl 0.0000 0.0000 0.0000
Tl2 Tl 0.0000 0.0000 0.2919
Cd1 Cd 0.0000 0.0000 0.1357
Cd2 Cd 0.0000 0.0000 0.4258
# **Formation energy**: 0.0421 eV per atom
# **Energy**: -0.065 hartree per atom
# **ρ**: 10.39 Mg/m³



# Zr3Tl2OF12 | Alexandria | PBEsol | optimized geometry
data_Zr3Tl2OF12
_symmetry_space_group_name_H-M 'R -3 m'
_symmetry_Int_Tables_number 166
_symmetry_space_group_name_Hall '-R 3 2"'
_cell_length_a 7.7130
_cell_length_b 7.7130
_cell_length_c 29.6040
_cell_angle_alpha 90.00
_cell_angle_beta 90.00
_cell_angle_gamma 120.00
loop_
_atom_site_label
_atom_site_type_symbol
_atom_site_fract_x
_atom_site_fract_y
_atom_site_fract_z
Zr1 Zr 0.0310 0.5155 0.4393
Tl1 Tl 0.0000 0.0000 0.0000
Tl2 Tl 0.0000 0.0000 0.3609
Tl3 Tl 0.0000 0.0000 0.5000
O1 O 0.0000 0.0000 0.2124
F1 F 0.0000 0.3513 0.5000
F2 F 0.0045 0.5023 0.0916
F3 F 0.0462 0.5231 0.3719
F4 F 0.1095 0.5548 0.7610
# **Energy**: -0.247 hartree per atom
# **ρ**: 6.05 Mg/m³



# Mn2BeAl2 | Alexandria | PBEsol | optimized geometry
data_Mn2BeAl2
_symmetry_space_group_name_H-M 'P 4/m b m'
_symmetry_Int_Tables_number 127
_symmetry_space_group_name_Hall '-P 4 2ab'
_cell_length_a 5.5637
_cell_length_b 5.5637
_cell_length_c 3.8687
_cell_angle_alpha 90.00
_cell_angle_beta 90.00
_cell_angle_gamma 90.00
loop_
_atom_site_label
_atom_site_type_symbol
_atom_site_fract_x
_atom_site_fract_y
_atom_site_fract_z
Mn1 Mn 0.1353 0.3647 0.0000
Be1 Be 0.0000 0.0000 0.0000
Al1 Al 0.1700 0.6700 0.5000
# **Formation energy**: -0.0733 eV per atom
# **Energy**: -0.236 hartree per atom
# **ρ**: 4.79 Mg/m³



# RuPt2Rh | Alexandria | PBEsol | optimized geometry
data_RuPt2Rh
_symmetry_space_group_name_H-M 'C 1 m 1'
_symmetry_Int_Tables_number 8
_cell_length_a 9.0018
_cell_length_b 2.7101
_cell_length_c 4.7067
_cell_angle_alpha 90.00
_cell_angle_beta 99.89
_cell_angle_gamma 90.00
loop_
_symmetry_equiv_pos_as_xyz
'x,y,z'
'x,-y,z'
'x+1/2,y+1/2,z'
'x+1/2,-y+1/2,z'
loop_
_atom_site_label
_atom_site_type_symbol
_atom_site_fract_x
_atom_site_fract_y
_atom_site_fract_z
Ru1 Ru 0.0000 0.0000 0.0000
Pt1 Pt 0.2507 0.0000 0.7503
Pt2 Pt 0.4960 0.0000 0.4917
Rh1 Rh 0.2433 0.5000 0.2354
# **Formation energy**: -0.0068 eV per atom
# **E above lowest polymorph**: 30.5 meV/atom
# **Energy**: -0.296 hartree per atom
# **ρ**: 17.44 Mg/m³



# Tl2NiF | Alexandria | PBEsol | optimized geometry
data_Tl2NiF
_symmetry_space_group_name_H-M 'F m -3 m'
_symmetry_Int_Tables_number 225
_symmetry_space_group_name_Hall '-F 4 2 3'
_cell_length_a 6.5161
_cell_length_b 6.5161
_cell_length_c 6.5161
_cell_angle_alpha 90.00
_cell_angle_beta 90.00
_cell_angle_gamma 90.00
loop_
_atom_site_label
_atom_site_type_symbol
_atom_site_fract_x
_atom_site_fract_y
_atom_site_fract_z
Tl1 Tl 0.2500 0.2500 0.2500
Ni1 Ni 0.0000 0.0000 0.0000
F1 F 0.0000 0.0000 0.5000
# **Energy**: -0.136 hartree per atom
# **ρ**: 11.68 Mg/m³



# Rb3C | Alexandria | PBEsol | optimized geometry
data_Rb3C
_symmetry_space_group_name_H-M 'C m m m'
_symmetry_Int_Tables_number 65
_symmetry_space_group_name_Hall '-C 2 2'
_cell_length_a 6.2000
_cell_length_b 15.2592
_cell_length_c 4.5524
_cell_angle_alpha 90.00
_cell_angle_beta 90.00
_cell_angle_gamma 90.00
loop_
_atom_site_label
_atom_site_type_symbol
_atom_site_fract_x
_atom_site_fract_y
_atom_site_fract_z
Rb1 Rb 0.0000 0.0000 0.0000
Rb2 Rb 0.0000 0.3690 0.5000
C1 C 0.0000 0.5000 0.0000
# **Formation energy**: 1.1093 eV per atom
# **E above lowest polymorph**: 0.0 meV/atom
# **Energy**: -0.076 hartree per atom
# **ρ**: 2.07 Mg/m³



# Ba2SrPb2 | Alexandria | PBEsol | optimized geometry
data_Ba2SrPb2
_symmetry_space_group_name_H-M 'P 4/m b m'
_symmetry_Int_Tables_number 127
_symmetry_space_group_name_Hall '-P 4 2ab'
_cell_length_a 8.8967
_cell_length_b 8.8967
_cell_length_c 5.1271
_cell_angle_alpha 90.00
_cell_angle_beta 90.00
_cell_angle_gamma 90.00
loop_
_atom_site_label
_atom_site_type_symbol
_atom_site_fract_x
_atom_site_fract_y
_atom_site_fract_z
Ba1 Ba 0.1650 0.3350 0.0000
Sr1 Sr 0.0000 0.0000 0.5000
Pb1 Pb 0.1259 0.6259 0.5000
# **Formation energy**: -0.5264 eV per atom
# **Energy**: -0.123 hartree per atom
# **ρ**: 6.36 Mg/m³



# TeRh2 | Alexandria | PBEsol | optimized geometry
data_TeRh2
_symmetry_space_group_name_H-M 'P n m a'
_symmetry_Int_Tables_number 62
_cell_length_a 6.8331
_cell_length_b 3.6151
_cell_length_c 7.9541
_cell_angle_alpha 90.00
_cell_angle_beta 90.00
_cell_angle_gamma 90.00
loop_
_symmetry_equiv_pos_as_xyz
'x,y,z'
'-x,-y,-z'
'-x+1/2,-y,z+1/2'
'x+1/2,y,-z+1/2'
'x+1/2,-y+1/2,-z+1/2'
'-x+1/2,y+1/2,z+1/2'
'-x,y+1/2,-z'
'x,-y+1/2,z'
loop_
_atom_site_label
_atom_site_type_symbol
_atom_site_fract_x
_atom_site_fract_y
_atom_site_fract_z
Te1 Te 0.2463 0.2500 0.1209
Rh1 Rh 0.0481 0.2500 0.8463
Rh2 Rh 0.1210 0.2500 0.4130
# **E above lowest polymorph**: 10.7 meV/atom
# **Energy**: -0.248 hartree per atom
# **ρ**: 11.27 Mg/m³



# ScNiW | Alexandria | PBEsol | optimized geometry
data_ScNiW
_symmetry_space_group_name_H-M 'I 4 m m'
_symmetry_Int_Tables_number 107
_symmetry_space_group_name_Hall 'I 4 -2'
_cell_length_a 2.7882
_cell_length_b 2.7882
_cell_length_c 11.7249
_cell_angle_alpha 90.00
_cell_angle_beta 90.00
_cell_angle_gamma 90.00
loop_
_atom_site_label
_atom_site_type_symbol
_atom_site_fract_x
_atom_site_fract_y
_atom_site_fract_z
Sc1 Sc 0.0000 0.0000 0.0000
Ni1 Ni 0.0000 0.0000 0.6659
W1 W 0.0000 0.0000 0.3074
# **Formation energy**: 0.0050 eV per atom
# **Energy**: -0.325 hartree per atom
# **ρ**: 10.47 Mg/m³



# BPO4 | Alexandria | PBEsol | optimized geometry
data_BPO4
_symmetry_space_group_name_H-M 'P 31 2 1'
_symmetry_Int_Tables_number 152
_cell_length_a 4.4926
_cell_length_b 4.4926
_cell_length_c 9.9689
_cell_angle_alpha 90.00
_cell_angle_beta 90.00
_cell_angle_gamma 120.00
loop_
_symmetry_equiv_pos_as_xyz
'x,y,z'
'-y,x-y,z+1/3'
'-x+y,-x,z+2/3'
'y,x,-z'
'x-y,-y,-z+2/3'
'-x,-x+y,-z+1/3'
loop_
_atom_site_label
_atom_site_type_symbol
_atom_site_fract_x
_atom_site_fract_y
_atom_site_fract_z
B1 B 0.0000 0.4665 0.1667
P1 P 0.0000 0.4656 0.6667
O1 O 0.1232 0.7186 0.2761
O2 O 0.1367 0.7300 0.7813
# **E above lowest polymorph**: 31.4 meV/atom
# **Energy**: -0.292 hartree per atom
# **ρ**: 3.02 Mg/m³



# Cs2ZnCuPd | Alexandria | PBEsol | optimized geometry
data_Cs2ZnCuPd
_symmetry_space_group_name_H-M 'P 4/m m m'
_symmetry_Int_Tables_number 123
_symmetry_space_group_name_Hall '-P 4 2'
_cell_length_a 6.3271
_cell_length_b 6.3271
_cell_length_c 4.7445
_cell_angle_alpha 90.00
_cell_angle_beta 90.00
_cell_angle_gamma 90.00
loop_
_atom_site_label
_atom_site_type_symbol
_atom_site_fract_x
_atom_site_fract_y
_atom_site_fract_z
Cs1 Cs 0.0000 0.5000 0.0000
Zn1 Zn 0.0000 0.0000 0.5000
Cu1 Cu 0.5000 0.5000 0.0000
Pd1 Pd 0.5000 0.5000 0.5000
# **Formation energy**: 0.4925 eV per atom
# **Energy**: -0.083 hartree per atom
# **ρ**: 4.38 Mg/m³



# La3CoHg | Alexandria | PBEsol | optimized geometry
data_La3CoHg
_symmetry_space_group_name_H-M 'P m -3 m'
_symmetry_Int_Tables_number 221
_symmetry_space_group_name_Hall '-P 4 2 3'
_cell_length_a 5.2046
_cell_length_b 5.2046
_cell_length_c 5.2046
_cell_angle_alpha 90.00
_cell_angle_beta 90.00
_cell_angle_gamma 90.00
loop_
_atom_site_label
_atom_site_type_symbol
_atom_site_fract_x
_atom_site_fract_y
_atom_site_fract_z
La1 La 0.0000 0.0000 0.5000
Co1 Co 0.0000 0.0000 0.0000
Hg1 Hg 0.5000 0.5000 0.5000
# **Formation energy**: -0.2089 eV per atom
# **Energy**: -0.187 hartree per atom
# **ρ**: 7.97 Mg/m³



# Ta3BeH | Alexandria | PBEsol | optimized geometry
data_Ta3BeH
_symmetry_space_group_name_H-M 'P m -3 m'
_symmetry_Int_Tables_number 221
_symmetry_space_group_name_Hall '-P 4 2 3'
_cell_length_a 4.0389
_cell_length_b 4.0389
_cell_length_c 4.0389
_cell_angle_alpha 90.00
_cell_angle_beta 90.00
_cell_angle_gamma 90.00
loop_
_atom_site_label
_atom_site_type_symbol
_atom_site_fract_x
_atom_site_fract_y
_atom_site_fract_z
Ta1 Ta 0.0000 0.0000 0.5000
Be1 Be 0.5000 0.5000 0.5000
H1 H 0.0000 0.0000 0.0000
# **Energy**: -0.327 hartree per atom
# **ρ**: 13.93 Mg/m³



# RuRh | Alexandria | PBEsol | optimized geometry
data_RuRh
_symmetry_space_group_name_H-M 'C 1 m 1'
_symmetry_Int_Tables_number 8
_cell_length_a 9.7164
_cell_length_b 2.6856
_cell_length_c 6.3341
_cell_angle_alpha 90.00
_cell_angle_beta 103.94
_cell_angle_gamma 90.00
loop_
_symmetry_equiv_pos_as_xyz
'x,y,z'
'x,-y,z'
'x+1/2,y+1/2,z'
'x+1/2,-y+1/2,z'
loop_
_atom_site_label
_atom_site_type_symbol
_atom_site_fract_x
_atom_site_fract_y
_atom_site_fract_z
Ru1 Ru 0.0000 0.0000 0.0000
Ru2 Ru 0.0549 0.0000 0.6078
Ru3 Ru 0.3939 0.0000 0.2795
Rh1 Rh 0.1673 0.5000 0.3308
Rh2 Rh 0.2221 0.5000 0.9443
Rh3 Rh 0.3377 0.0000 0.6689
# **Formation energy**: 0.0086 eV per atom
# **Energy**: -0.336 hartree per atom
# **ρ**: 12.67 Mg/m³



# Be2CuBr | Alexandria | PBEsol | optimized geometry
data_Be2CuBr
_symmetry_space_group_name_H-M 'I 4/m m m'
_symmetry_Int_Tables_number 139
_symmetry_space_group_name_Hall '-I 4 2'
_cell_length_a 3.4343
_cell_length_b 3.4343
_cell_length_c 9.9679
_cell_angle_alpha 90.00
_cell_angle_beta 90.00
_cell_angle_gamma 90.00
loop_
_atom_site_label
_atom_site_type_symbol
_atom_site_fract_x
_atom_site_fract_y
_atom_site_fract_z
Be1 Be 0.0000 0.5000 0.2500
Cu1 Cu 0.0000 0.0000 0.0000
Br1 Br 0.0000 0.0000 0.5000
# **E above lowest polymorph**: 660.4 meV/atom
# **Energy**: -0.101 hartree per atom
# **ρ**: 4.56 Mg/m³



# PSe4Cl6 | Alexandria | PBEsol | optimized geometry
data_PSe4Cl6
_symmetry_space_group_name_H-M 'P 42/n c m'
_symmetry_Int_Tables_number 138
_cell_length_a 10.4937
_cell_length_b 10.4937
_cell_length_c 10.3840
_cell_angle_alpha 90.00
_cell_angle_beta 90.00
_cell_angle_gamma 90.00
loop_
_symmetry_equiv_pos_as_xyz
'x,y,z'
'-x,-y,-z'
'-y+1/2,x,z+1/2'
'y+1/2,-x,-z+1/2'
'-x+1/2,-y+1/2,z'
'x+1/2,y+1/2,-z'
'y,-x+1/2,z+1/2'
'-y,x+1/2,-z+1/2'
'x+1/2,-y,-z+1/2'
'-x+1/2,y,z+1/2'
'-y,-x,-z'
'y,x,z'
'-x,y+1/2,-z+1/2'
'x,-y+1/2,z+1/2'
'y+1/2,x+1/2,-z'
'-y+1/2,-x+1/2,z'
loop_
_atom_site_label
_atom_site_type_symbol
_atom_site_fract_x
_atom_site_fract_y
_atom_site_fract_z
P1 P 0.0000 0.0000 0.0000
Se1 Se 0.0944 0.0944 0.4167
Se2 Se 0.1112 0.6112 0.0000
Cl1 Cl 0.0621 0.6518 0.6406
Cl2 Cl 0.1342 0.1342 0.0876
# **Energy**: -0.122 hartree per atom
# **ρ**: 3.25 Mg/m³



# CoCuNi2 | Alexandria | PBEsol | optimized geometry
data_CoCuNi2
_symmetry_space_group_name_H-M 'P m m m'
_symmetry_Int_Tables_number 47
_cell_length_a 2.5632
_cell_length_b 4.0634
_cell_length_c 4.1010
_cell_angle_alpha 90.00
_cell_angle_beta 90.00
_cell_angle_gamma 90.00
loop_
_symmetry_equiv_pos_as_xyz
'x,y,z'
'-x,-y,-z'
'-x,-y,z'
'x,y,-z'
'x,-y,-z'
'-x,y,z'
'-x,y,-z'
'x,-y,z'
loop_
_atom_site_label
_atom_site_type_symbol
_atom_site_fract_x
_atom_site_fract_y
_atom_site_fract_z
Co1 Co 0.0000 0.0000 0.0000
Cu1 Cu 0.5000 0.0000 0.5000
Ni1 Ni 0.0000 0.5000 0.5000
Ni2 Ni 0.5000 0.5000 0.0000
# **Formation energy**: 0.1622 eV per atom
# **Energy**: -0.218 hartree per atom
# **ρ**: 9.33 Mg/m³



# Li2ZnTc | Alexandria | PBEsol | optimized geometry
data_Li2ZnTc
_symmetry_space_group_name_H-M 'P 1 2/m 1'
_symmetry_Int_Tables_number 10
_cell_length_a 2.4415
_cell_length_b 4.5989
_cell_length_c 4.8348
_cell_angle_alpha 90.00
_cell_angle_beta 93.05
_cell_angle_gamma 90.00
loop_
_symmetry_equiv_pos_as_xyz
'x,y,z'
'-x,-y,-z'
'-x,y,-z'
'x,-y,z'
loop_
_atom_site_label
_atom_site_type_symbol
_atom_site_fract_x
_atom_site_fract_y
_atom_site_fract_z
Li1 Li 0.1825 0.0000 0.2328
Zn1 Zn 0.0000 0.5000 0.5000
Tc1 Tc 0.5000 0.5000 0.0000
# **Formation energy**: 0.1361 eV per atom
# **Energy**: -0.149 hartree per atom
# **ρ**: 5.43 Mg/m³



# Li3FeP2O8 | Alexandria | PBEsol | optimized geometry
data_Li3FeP2O8
_symmetry_space_group_name_H-M 'P 1 21/m 1'
_symmetry_Int_Tables_number 11
_cell_length_a 7.0212
_cell_length_b 5.2273
_cell_length_c 8.4055
_cell_angle_alpha 90.00
_cell_angle_beta 92.42
_cell_angle_gamma 90.00
loop_
_symmetry_equiv_pos_as_xyz
'x,y,z'
'-x,-y,-z'
'-x,y+1/2,-z'
'x,-y+1/2,z'
loop_
_atom_site_label
_atom_site_type_symbol
_atom_site_fract_x
_atom_site_fract_y
_atom_site_fract_z
Li1 Li 0.0579 0.2500 0.2443
Li2 Li 0.1318 0.2500 0.9368
Li3 Li 0.1857 0.7500 0.3496
Fe1 Fe 0.4566 0.2500 0.2494
P1 P 0.2705 0.7500 0.0526
P2 P 0.2727 0.2500 0.6096
O1 O 0.0857 0.2500 0.6990
O2 O 0.0956 0.7500 0.9383
O3 O 0.2319 0.2500 0.4270
O4 O 0.2552 0.5130 0.1644
O5 O 0.3896 0.0090 0.6543
O6 O 0.4572 0.7500 0.9667
# **E above lowest polymorph**: 54.1 meV/atom
# **Energy**: -0.256 hartree per atom
# **ρ**: 2.87 Mg/m³